[1]
16
Lattice="7.1468 0.0000 0.0000 0.0000 7.1468 0.0000 0.0000 0.0000 7.1468" Properties=species:S:1:pos:R:3 comment="TbTmInIr | the Alexandria database | PBE-GGA | relaxed" formation_enthalpy_0k_ev_per_atom=-0.565 pbc="T T T"
Tb 0.0000 0.0000 0.0000
Tb 0.0000 3.5734 3.5734
Tb 3.5734 0.0000 3.5734
Tb 3.5734 3.5734 0.0000
Tm 0.0000 0.0000 3.5734
Tm 0.0000 3.5734 0.0000
Tm 3.5734 0.0000 0.0000
Tm 3.5734 3.5734 3.5734
In 1.7867 1.7867 5.3601
In 1.7867 5.3601 1.7867
In 5.3601 1.7867 1.7867
In 5.3601 5.3601 5.3601
Ir 1.7867 1.7867 1.7867
Ir 1.7867 5.3601 5.3601
Ir 5.3601 1.7867 5.3601
Ir 5.3601 5.3601 1.7867

***

[2]
6
Lattice="3.3829 0.0000 0.0000 0.0000 4.4583 0.0000 0.0000 0.0000 8.0418" Properties=species:S:1:pos:R:3 comment="NbBiRh | the Alexandria database | PBE-GGA | relaxed" formation_enthalpy_0k_ev_per_atom=-0.060 pbc="T T T"
Nb 0.0000 0.0000 0.0000
Nb 0.0000 2.2291 1.9075
Bi 0.0000 2.2291 5.3077
Bi 1.6914 0.0000 2.8394
Rh 1.6914 0.0000 5.9773
Rh 1.6914 2.2291 7.7604

***

[3]
6
Lattice="0.0000 3.6070 3.6070 3.6070 0.0000 3.6070 3.6070 3.6070 0.0000" Properties=species:S:1:pos:R:3 comment="TaSi4Hg | the Alexandria database | PBE-GGA | relaxed" raw_formation_energy_ev_per_atom=0.4506 pbc="T T T"
Ta 0.0000 0.0000 0.0000
Si 4.5135 2.7004 2.7004
Si 2.7004 4.5135 2.7004
Si 2.7004 2.7004 4.5135
Si 4.5135 4.5135 4.5135
Hg 1.8035 1.8035 1.8035

***

[4]
8
Lattice="8.7007 0.0000 0.0000 0.0000 2.6189 0.0000 -0.3371 0.0000 5.1884" Properties=species:S:1:pos:R:3 comment="Li2MoRu | the Alexandria database | PBE-GGA | relaxed" formation_enthalpy_0k_ev_per_atom=0.257 de_polymorph_ev_per_fu=0.22 pbc="T T T"
Li 0.0000 0.0000 0.0000
Li 1.8829 0.0000 4.0903
Li 4.3504 1.3094 0.0000
Li 6.2333 1.3094 4.0903
Mo 4.1585 0.0000 2.4864
Mo 8.5089 1.3094 2.4864
Ru 1.9775 1.3094 1.5177
Ru 6.3279 0.0000 1.5177

***

[5]
34
Lattice="4.5603 0.0000 0.0000 0.0000 7.2036 0.0000 -0.0146 0.0000 9.2997" Properties=species:S:1:pos:R:3 comment="Lu2CuB4O10 | the Alexandria database | PBE-GGA | relaxed" raw_formation_energy_ev_per_atom=-2.6238 pbc="T T T"
Lu 0.0054 0.7342 1.5255
Lu -0.0020 2.8677 6.1753
Lu 4.5476 4.3360 3.1244
Lu 4.5403 6.4695 7.7742
Cu -0.0073 0.0000 4.6498
Cu 0.0000 3.6018 0.0000
B 2.0962 5.2557 5.3813
B 2.1035 5.5498 0.7314
B 2.1383 0.7032 6.1801
B 2.1456 2.8987 1.5303
B 2.4001 4.3050 7.7694
B 2.4074 6.5005 3.1196
B 2.4421 1.6539 8.5682
B 2.4495 1.9479 3.9184
O 0.9575 4.2492 7.7315
O 0.9648 6.5563 3.0817
O 1.0284 4.3848 5.0190
O 1.0357 6.4207 0.3692
O 1.4669 4.2495 1.2919
O 1.4596 6.5559 5.9417
O 1.5318 1.1661 7.4730
O 1.5391 2.4358 2.8232
O 1.6182 1.6136 5.1200
O 1.6255 1.9882 0.4701
O 2.9201 5.2155 8.8295
O 2.9275 5.5900 4.1797
O 3.0065 4.7679 6.4765
O 3.0138 6.0376 1.8267
O 3.0861 0.6477 3.3580
O 3.0788 2.9541 8.0078
O 3.5099 0.7830 8.9305
O 3.5172 2.8189 4.2807
O 3.5808 0.6473 6.2180
O 3.5881 2.9545 1.5681

***

[6]
8
Lattice="4.6099 0.0000 0.0000 0.0000 4.6099 0.0000 0.0000 0.0000 9.1862" Properties=species:S:1:pos:R:3 comment="CeZrIn6 | the Alexandria database | PBE-GGA | relaxed" formation_enthalpy_0k_ev_per_atom=-0.314 pbc="T T T"
Ce 0.0000 0.0000 0.0000
Zr 0.0000 0.0000 4.5931
In 0.0000 2.3049 2.3724
In 0.0000 2.3049 6.8138
In 2.3049 0.0000 2.3724
In 2.3049 0.0000 6.8138
In 2.3049 2.3049 0.0000
In 2.3049 2.3049 4.5931

***

[7]
16
Lattice="3.9751 0.0000 0.0000 0.0000 3.9751 0.0000 0.0000 0.0000 15.8673" Properties=species:S:1:pos:R:3 comment="LiPd12Au3 | the Alexandria database | PBE-GGA | relaxed" formation_enthalpy_0k_ev_per_atom=-0.098 pbc="T T T"
Li 0.0000 0.0000 0.0000
Pd 0.0000 1.9875 1.8693
Pd 0.0000 1.9875 5.9123
Pd 0.0000 1.9875 9.9550
Pd 0.0000 1.9875 13.9980
Pd 1.9875 0.0000 1.8693
Pd 1.9875 0.0000 5.9123
Pd 1.9875 0.0000 9.9550
Pd 1.9875 0.0000 13.9980
Pd 1.9875 1.9875 0.0000
Pd 1.9875 1.9875 3.8837
Pd 1.9875 1.9875 7.9337
Pd 1.9875 1.9875 11.9836
Au 0.0000 0.0000 3.8930
Au 0.0000 0.0000 7.9337
Au 0.0000 0.0000 11.9743

***

[8]
14
Lattice="-4.4193 4.4193 4.4193 4.4193 -4.4193 4.4193 4.4193 4.4193 -4.4193" Properties=species:S:1:pos:R:3 comment="Ca2Ce2Pt3 | the Alexandria database | PBE-GGA | relaxed" formation_enthalpy_0k_ev_per_atom=-0.893 pbc="T T T"
Ca 3.8070 0.6124 -0.6124
Ca 0.6124 0.6124 0.6124
Ca 0.6124 -0.6124 3.8070
Ca -0.6124 3.8070 0.6124
Ce 6.0881 -1.6688 1.6688
Ce 1.6688 6.0881 -1.6688
Ce 2.7506 2.7506 2.7506
Ce -1.6688 1.6688 6.0881
Pt 6.6290 0.9737 0.0000
Pt 3.4456 0.0000 2.2097
Pt 2.2097 3.4456 0.0000
Pt 0.0000 2.2097 3.4456
Pt 0.9737 0.0000 6.6290
Pt 0.0000 6.6290 0.9737

***

[9]
12
Lattice="3.7963 0.0000 0.0000 -1.8981 3.2877 0.0000 0.0000 0.0000 37.3582" Properties=species:S:1:pos:R:3 comment="Ca2AcTm | the Alexandria database | PBE-GGA | relaxed" formation_enthalpy_0k_ev_per_atom=0.111 de_polymorph_ev_per_fu=0.00 pbc="T T T"
Ca 0.0000 0.0000 0.0000
Ca 0.0000 0.0000 5.8822
Ca 0.0000 2.1918 24.9055
Ca 0.0000 2.1918 30.7877
Ca 1.8981 1.0959 12.4527
Ca 1.8981 1.0959 18.3349
Ac 0.0000 0.0000 21.6289
Ac 0.0000 2.1918 9.1762
Ac 1.8981 1.0959 34.0816
Tm 0.0000 0.0000 15.4041
Tm 0.0000 2.1918 2.9513
Tm 1.8981 1.0959 27.8568

***

[10]
16
Lattice="6.2927 0.0000 0.0000 0.0000 6.2927 0.0000 0.0000 0.0000 6.2927" Properties=species:S:1:pos:R:3 comment="Mg2ZnNi | the Alexandria database | PBE-GGA | relaxed" formation_enthalpy_0k_ev_per_atom=-0.073 pbc="T T T"
Mg 0.0000 0.0000 0.0000
Mg 0.0000 3.1463 3.1463
Mg 1.5732 1.5732 1.5732
Mg 1.5732 4.7195 4.7195
Mg 3.1463 0.0000 3.1463
Mg 3.1463 3.1463 0.0000
Mg 4.7195 1.5732 4.7195
Mg 4.7195 4.7195 1.5732
Zn 0.0000 0.0000 3.1463
Zn 0.0000 3.1463 0.0000
Zn 3.1463 0.0000 0.0000
Zn 3.1463 3.1463 3.1463
Ni 1.5732 1.5732 4.7195
Ni 1.5732 4.7195 1.5732
Ni 4.7195 1.5732 1.5732
Ni 4.7195 4.7195 4.7195

***

[11]
5
Lattice="5.5829 0.0000 0.0000 0.0000 5.5829 0.0000 0.0000 0.0000 3.9187" Properties=species:S:1:pos:R:3 comment="Sr2TePtN | the Alexandria database | PBE-GGA | relaxed" raw_formation_energy_ev_per_atom=-1.0146 pbc="T T T"
Sr 0.0000 2.7914 0.0000
Sr 2.7914 0.0000 0.0000
Te 0.0000 0.0000 1.9593
Pt 2.7914 2.7914 1.9593
N 2.7914 2.7914 0.0000

***

[12]
12
Lattice="9.3716 0.0000 0.0000 0.0000 2.9829 0.0000 -3.3072 0.0000 6.8169" Properties=species:S:1:pos:R:3 comment="Tc2Se | the Alexandria database | PBE-GGA | relaxed" raw_formation_energy_ev_per_atom=0.1607 de_polymorph_ev_per_fu=0.78 pbc="T T T"
Tc 0.0000 0.0000 0.0000
Tc -1.8294 0.0000 4.3948
Tc -1.1878 1.4915 6.5032
Tc 3.3684 0.0000 1.9380
Tc 4.6858 1.4915 0.0000
Tc 2.8564 1.4915 4.3948
Tc 3.4980 0.0000 6.5032
Tc 8.0542 1.4915 1.9380
Se 1.3281 1.4915 2.0708
Se 0.7802 0.0000 4.8916
Se 6.0139 0.0000 2.0708
Se 5.4660 1.4915 4.8916

***

no.,calculated volume (Å³ per cell),DFT total energy (eV per atom)
1,365,-5.740
2,121,-7.161
3,94,-5.190
4,118,-5.727
5,306,-7.884
6,195,-4.178
7,251,-4.726
8,345,-5.749
9,466,-3.035
10,249,-2.634
11,122,-5.189
12,191,-7.911